Entry 1
First-principles (GGA-PBE) data for a relaxed structure of PuHfTi2, as listed in Alexandria.

Cell lengths 6.8191, 6.8191, 6.8191 Å; angles 90.00, 90.00, 90.00 degrees
Space group Fm-3m (No. 225)
One atom of each set of equivalent atoms:
1 Pu 0.0000 0.0000 0.0000
2 Hf 0.0000 0.0000 0.5000
3 Ti 0.2500 0.2500 0.2500

***

Entry 2
First-principles (GGA-PBE) data for a relaxed structure of PuHfTi2, as listed in Alexandria.

Cell lengths 3.0768, 3.0768, 8.4666 Å; angles 90.00, 90.00, 90.00 degrees
Space group P4/mmm (No. 123)
One atom of each set of equivalent atoms:
1 Pu 0.0000 0.0000 0.0000
2 Hf 0.0000 0.0000 0.5000
3 Ti 0.5000 0.5000 0.2520

***

Entry 3
First-principles (GGA-PBE) data for a relaxed structure of PuHfTi2, as listed in Alexandria.

Cell lengths 5.3511, 3.0853, 9.9543 Å; angles 90.00, 100.43, 90.00 degrees
Space group Cm (No. 8)
One atom of each set of equivalent atoms:
1 Pu 0.0000 0.0000 0.0000
2 Hf 0.1666 0.0000 0.4993
3 Ti 0.0810 0.5000 0.7447
4 Ti 0.2512 0.5000 0.2522

***

Stability summary - winner: entry 2; margin: 0.030 eV/atom.